# Hf2CuAu

A relaxed structure of Hf2CuAu (PBE-GGA, the Open Quantum Materials Database).

- volume (Å³/cell) = 72.7

The structure in POSCAR format:
```
Hf2CuAu
1.0
0.000 3.312 3.312
3.312 0.000 3.312
3.312 3.312 0.000
Hf Cu Au
2 1 1
Direct
0.000 0.000 0.000 Hf
0.250 0.250 0.250 Hf
0.500 0.500 0.500 Cu
0.750 0.750 0.750 Au
```



# HfCuAu2

A relaxed structure of HfCuAu2 (PBE-GGA, the Open Quantum Materials Database).

- volume (Å³/cell) = 68.3

The structure in POSCAR format:
```
HfCuAu2
1.0
0.000 3.245 3.245
3.245 0.000 3.245
3.245 3.245 0.000
Hf Cu Au
1 1 2
Direct
0.000 0.000 0.000 Hf
0.250 0.250 0.250 Cu
0.500 0.500 0.500 Au
0.750 0.750 0.750 Au
```



# Hf2CuAu3

A relaxed structure of Hf2CuAu3 (PBE-GGA, the Open Quantum Materials Database).

- volume (Å³/cell) = 107.7

The structure in POSCAR format:
```
Hf2CuAu3
1.0
3.513 0.000 0.000
0.000 3.513 0.000
0.000 0.000 8.725
Hf Cu Au
2 1 3
Direct
0.000 0.000 0.000 Hf
0.500 0.500 0.491 Hf
0.000 0.000 0.327 Cu
0.000 0.000 0.653 Au
0.500 0.500 0.176 Au
0.500 0.500 0.831 Au
```



| no. | energy of formation (eV per atom) |
| --- | --- |
| 1 | 0.073 |
| 2 | -0.301 |
| 3 | -0.458 |